(1)
! meta-GGA SCAN Mn2AsBr, single point on PBEsol structure; values from VASP
! ΔE to the lowest computed polymorph: 0.342 eV per atom
! D(E_F): 0.405 states/eV per atom
! M_tot: 9.39 μB/cell
&SYSTEM
  ibrav = 0, nat = 4, ntyp = 3
/
ATOMIC_SPECIES
Br 79.90 Br.upf
Mn 54.94 Mn.upf
As 74.92 As.upf
CELL_PARAMETERS angstrom
3.586 0.000 0.000
1.793 4.739 0.186
1.793 0.599 4.704
ATOMIC_POSITIONS crystal
Br 0.500 0.000 0.000
Mn 0.733 0.267 0.267
Mn 0.267 0.733 0.733
As 0.000 0.500 0.500

(2)
! meta-GGA SCAN CeAu6, single point on PBEsol structure; values from VASP
! ΔE_f: -0.48 eV per atom
! D(E_F): 0.676 states/eV per atom
! M_tot: 1.96 μB/cell
&SYSTEM
  ibrav = 0, nat = 14, ntyp = 2
/
ATOMIC_SPECIES
Ce 140.12 Ce.upf
Au 196.97 Au.upf
CELL_PARAMETERS angstrom
-0.064 -2.563 -4.820
1.478 -4.678 2.395
-8.258 -3.531 0.730
ATOMIC_POSITIONS crystal
Ce 0.681 0.319 0.750
Au 0.168 0.549 0.875
Au 0.832 0.451 0.125
Au 0.051 0.152 0.362
Au 0.787 0.614 0.418
Au 0.549 0.168 0.375
Au 0.386 0.213 0.082
Au 0.614 0.787 0.918
Au 0.949 0.848 0.638
Ce 0.319 0.681 0.250
Au 0.848 0.949 0.138
Au 0.152 0.051 0.862
Au 0.451 0.832 0.625
Au 0.213 0.386 0.582